[1]
A plane-wave DFT calculation with PBE was carried out for a geometry-optimized CsTeH2 structure.

Properties
energy relative to the lowest polymorph listed for this composition	139.5	meV/atom
space-group type	No. 6

Cell lengths 5.030, 5.194, 5.473 Å; angles 90.00, 117.24, 90.00 degrees
Atoms (fractional coordinates):
Cs 0.028 0.000 0.667
H 0.330 0.500 0.101
H 0.157 0.500 0.101
Te 0.718 0.500 0.049

=====

[2]
A plane-wave DFT calculation with PBE was carried out for a geometry-optimized Dy7Y3Tm2 structure.

Properties
energy relative to the lowest polymorph listed for this composition	187.6	meV/atom
space-group type	No. 166
energy of formation from the pure elements	0.276	eV/atom

Cell lengths 6.482, 6.482, 11.624 Å; angles 73.81, 73.81, 60.00 degrees
Atoms (fractional coordinates):
Dy 0.081 0.586 0.747
Dy 0.414 0.919 0.253
Dy 0.500 0.500 0.500
Dy 0.919 0.414 0.253
Dy 0.586 0.081 0.747
Dy 0.586 0.586 0.747
Dy 0.414 0.414 0.253
Y 0.849 0.849 0.454
Y 0.151 0.151 0.546
Y 0.000 0.000 0.000
Tm 0.666 0.666 0.001
Tm 0.334 0.334 0.999

=====

[3]
A plane-wave DFT calculation with PBE was carried out for a geometry-optimized AlPt2Br structure.

Properties
energy relative to the lowest polymorph listed for this composition	527.5	meV/atom
uncorrected formation energy	0.09	eV/atom
space-group type	No. 225

Cell lengths 4.572, 4.572, 4.572 Å; angles 60.00, 60.00, 60.00 degrees
Atoms (fractional coordinates):
Pt 0.250 0.250 0.250
Pt 0.750 0.750 0.750
Al 0.000 0.000 0.000
Br 0.500 0.500 0.500

=====

[4]
A plane-wave DFT calculation with PBE was carried out for a geometry-optimized Pm3GaRu3 structure.

Properties
space-group type	No. 63
energy of formation from the pure elements	-0.349	eV/atom

Cell lengths 4.250, 5.741, 13.569 Å; angles 90.00, 90.00, 111.73 degrees
Atoms (fractional coordinates):
Ru 0.211 0.423 0.250
Ru 0.789 0.577 0.750
Ru 0.083 0.166 0.406
Ru 0.917 0.834 0.906
Ru 0.917 0.834 0.594
Ru 0.083 0.166 0.094
Pm 0.507 0.014 0.250
Pm 0.796 0.593 0.105
Pm 0.204 0.407 0.605
Pm 0.796 0.593 0.395
Pm 0.204 0.407 0.895
Pm 0.493 0.986 0.750
Ga 0.500 0.000 0.500
Ga 0.500 0.000 0.000

=====

[5]
A plane-wave DFT calculation with PBE was carried out for a geometry-optimized TmIn4Pd5 structure.

Properties
space-group type	No. 123
energy of formation from the pure elements	-0.589	eV/atom

Cell lengths 3.368, 3.368, 16.351 Å; angles 90.00, 90.00, 90.00 degrees
Atoms (fractional coordinates):
Tm 0.000 0.000 0.000
Pd 0.500 0.500 0.500
Pd 0.500 0.500 0.304
Pd 0.500 0.500 0.696
Pd 0.500 0.500 0.106
Pd 0.500 0.500 0.894
In 0.000 0.000 0.402
In 0.000 0.000 0.204
In 0.000 0.000 0.598
In 0.000 0.000 0.796

=====

[6]
A plane-wave DFT calculation with PBE was carried out for a geometry-optimized SrGaCoHg2 structure.

Properties
space-group type	No. 123
energy of formation from the pure elements	-0.202	eV/atom

Cell lengths 5.101, 5.101, 4.604 Å; angles 90.00, 90.00, 90.00 degrees
Atoms (fractional coordinates):
Sr 0.500 0.500 0.500
Ga 0.000 0.000 0.500
Co 0.000 0.000 0.000
Hg 0.500 0.000 0.000
Hg 0.000 0.500 0.000

=====

[7]
A plane-wave DFT calculation with PBE was carried out for a geometry-optimized RbNdNiCl6 structure.

Properties
uncorrected formation energy	-1.63	eV/atom
space-group type	No. 149

Cell lengths 6.784, 6.784, 7.299 Å; angles 90.00, 90.00, 60.00 degrees
Each line ends with the local moment (μB).
Atoms (fractional coordinates):
Cl 0.353 0.035 0.699  0.07
Cl 0.612 0.035 0.301  0.07
Cl 0.035 0.612 0.699  0.07
Cl 0.035 0.353 0.301  0.07
Cl 0.612 0.353 0.699  0.07
Cl 0.353 0.612 0.301  0.07
Rb 0.000 0.000 0.000  0.00
Ni 0.333 0.333 0.500  1.51
Nd 0.667 0.667 0.500  0.00

=====

[8]
A plane-wave DFT calculation with PBE was carried out for a geometry-optimized LiPuTeAu structure.

Properties
uncorrected formation energy	-0.67	eV/atom
space-group type	No. 216

Cell lengths 5.107, 5.107, 5.107 Å; angles 60.00, 60.00, 60.00 degrees
Each line ends with the local moment (μB).
Atoms (fractional coordinates):
Te 0.500 0.500 0.500  -0.05
Au 0.000 0.000 0.000  0.00
Li 0.250 0.250 0.250  0.04
Pu 0.750 0.750 0.750  5.52

=====

[9]
A plane-wave DFT calculation with PBE was carried out for a geometry-optimized TlHg2Se2Cl structure.

Properties
uncorrected formation energy	-0.37	eV/atom
space-group type	No. 11

Cell lengths 7.100, 7.759, 7.925 Å; angles 105.49, 90.00, 90.00 degrees
Atoms (fractional coordinates):
Se 0.750 0.005 0.616
Se 0.750 0.387 0.250
Se 0.250 0.613 0.750
Se 0.250 0.995 0.384
Hg 0.997 0.158 0.268
Hg 0.003 0.842 0.732
Hg 0.497 0.842 0.732
Hg 0.503 0.158 0.268
Tl 0.250 0.599 0.140
Tl 0.750 0.401 0.860
Cl 0.750 0.822 0.053
Cl 0.250 0.178 0.947

=====

[10]
A plane-wave DFT calculation with PBE was carried out for a geometry-optimized V2Mo6W3 structure.

Properties
space-group type	No. 71
energy of formation from the pure elements	0.332	eV/atom

Cell lengths 4.693, 2.572, 14.728 Å; angles 95.01, 99.17, 90.00 degrees
Atoms (fractional coordinates):
W 0.000 0.000 0.000
W 0.817 0.817 0.634
W 0.183 0.183 0.366
V 0.542 0.542 0.083
V 0.458 0.458 0.917
Mo 0.723 0.723 0.446
Mo 0.631 0.131 0.262
Mo 0.277 0.277 0.554
Mo 0.091 0.591 0.182
Mo 0.909 0.409 0.818
Mo 0.369 0.869 0.738

=====

[11]
A plane-wave DFT calculation with PBE was carried out for a geometry-optimized SrEu2Cd structure.

Properties
energy relative to the lowest polymorph listed for this composition	209.0	meV/atom
space-group type	No. 166
energy of formation from the pure elements	0.045	eV/atom

Cell lengths 3.933, 3.933, 12.693 Å; angles 81.09, 81.09, 60.00 degrees
Each line ends with the local moment (μB).
Atoms (fractional coordinates):
Eu 0.900 0.900 0.300  7.06
Eu 0.100 0.100 0.700  7.06
Cd 0.500 0.500 0.500  0.06
Sr 0.000 0.000 0.000  0.02

=====

[12]
A plane-wave DFT calculation with PBE was carried out for a geometry-optimized RbLaNb2Ga structure.

Properties
energy relative to the lowest polymorph listed for this composition	1098.4	meV/atom
space-group type	No. 123
energy of formation from the pure elements	2.176	eV/atom

Cell lengths 4.923, 5.509, 4.923 Å; angles 90.00, 90.00, 90.00 degrees
Atoms (fractional coordinates):
La 0.000 0.500 0.000
Ga 0.500 0.500 0.500
Nb 0.000 0.000 0.500
Nb 0.500 0.000 0.000
Rb 0.000 0.000 0.000

=====

[13]
A plane-wave DFT calculation with PBE was carried out for a geometry-optimized CeY3Ag2 structure.

Properties
space-group type	No. 123
energy of formation from the pure elements	-0.173	eV/atom

Cell lengths 3.614, 3.614, 12.242 Å; angles 90.00, 90.00, 90.00 degrees
Each line ends with the local moment (μB).
Atoms (fractional coordinates):
Y 0.000 0.000 0.000  0.02
Y 0.000 0.000 0.700  0.07
Y 0.000 0.000 0.300  0.07
Ag 0.500 0.500 0.849  0.00
Ag 0.500 0.500 0.151  0.00
Ce 0.500 0.500 0.500  0.74

=====

[14]
A plane-wave DFT calculation with PBE was carried out for a geometry-optimized La5Sm7 structure.

Properties
energy relative to the lowest polymorph listed for this composition	148.7	meV/atom
space-group type	No. 12
energy of formation from the pure elements	0.157	eV/atom

Cell lengths 5.985, 5.734, 15.085 Å; angles 102.48, 90.00, 121.46 degrees
Atoms (fractional coordinates):
Sm 0.500 0.000 0.500
Sm 0.039 0.078 0.215
Sm 0.961 0.922 0.785
Sm 0.321 0.642 0.915
Sm 0.679 0.358 0.085
Sm 0.752 0.505 0.327
Sm 0.248 0.495 0.673
La 0.375 0.750 0.201
La 0.000 0.000 0.000
La 0.625 0.250 0.799
La 0.870 0.741 0.564
La 0.130 0.259 0.436

=====

[15]
A plane-wave DFT calculation with PBE was carried out for a geometry-optimized KDy2CuO4 structure.

Properties
uncorrected formation energy	-2.48	eV/atom
space-group type	No. 63

Cell lengths 3.460, 6.076, 11.809 Å; angles 90.00, 90.00, 106.54 degrees
Atoms (fractional coordinates):
K 0.099 0.199 0.750
K 0.901 0.801 0.250
Cu 0.824 0.648 0.750
Cu 0.176 0.352 0.250
O 0.745 0.490 0.903
O 0.255 0.510 0.097
O 0.577 0.154 0.250
O 0.000 0.000 0.500
O 0.423 0.846 0.750
O 0.255 0.510 0.403
O 0.745 0.490 0.597
O 0.000 0.000 0.000
Dy 0.633 0.265 0.439
Dy 0.633 0.265 0.061
Dy 0.367 0.735 0.939
Dy 0.367 0.735 0.561

=====

[16]
A plane-wave DFT calculation with PBE was carried out for a geometry-optimized ScTeAu2 structure.

Properties
uncorrected formation energy	-0.41	eV/atom
space-group type	No. 122

Cell lengths 8.028, 8.028, 6.334 Å; angles 50.67, 50.67, 90.00 degrees
Atoms (fractional coordinates):
Au 0.375 0.374 0.750
Au 0.124 0.625 0.250
Au 0.875 0.876 0.750
Au 0.626 0.125 0.250
Sc 0.500 0.500 0.000
Sc 0.250 0.750 0.500
Te 0.750 0.250 0.500
Te 0.000 0.000 0.000

=====

[17]
A plane-wave DFT calculation with PBE was carried out for a geometry-optimized NiIr2Br structure.

Properties
energy relative to the lowest polymorph listed for this composition	592.9	meV/atom
uncorrected formation energy	1.06	eV/atom
space-group type	No. 123

Cell lengths 3.717, 4.015, 4.015 Å; angles 90.00, 90.00, 90.00 degrees
Each line ends with the local moment (μB).
Atoms (fractional coordinates):
Ir 0.000 0.500 0.500  0.12
Ir 0.000 0.000 0.000  0.12
Ni 0.500 0.500 0.000  0.26
Br 0.500 0.000 0.500  0.02

=====

[18]
A plane-wave DFT calculation with PBE was carried out for a geometry-optimized Pa2Ga5Tc3 structure.

Properties
space-group type	No. 72
energy of formation from the pure elements	-0.216	eV/atom

Cell lengths 5.635, 8.560, 8.560 Å; angles 89.50, 70.78, 70.78 degrees
Atoms (fractional coordinates):
Ga 0.617 0.748 0.018
Ga 0.750 0.500 0.500
Ga 0.383 0.252 0.982
Ga 0.883 0.982 0.252
Ga 0.117 0.018 0.748
Ga 0.006 0.744 0.744
Ga 0.994 0.256 0.256
Ga 0.250 0.500 0.500
Ga 0.506 0.744 0.744
Ga 0.494 0.256 0.256
Pa 0.363 0.903 0.371
Pa 0.863 0.371 0.903
Pa 0.637 0.097 0.629
Pa 0.137 0.629 0.097
Tc 0.750 0.000 0.000
Tc 0.121 0.220 0.538
Tc 0.379 0.462 0.780
Tc 0.250 0.000 0.000
Tc 0.621 0.538 0.220
Tc 0.879 0.780 0.462

=====

[19]
A plane-wave DFT calculation with PBE was carried out for a geometry-optimized Cs2CuTcF structure.

Properties
uncorrected formation energy	0.24	eV/atom
space-group type	No. 123

Cell lengths 6.628, 4.831, 6.628 Å; angles 90.00, 90.00, 90.00 degrees
Each line ends with the local moment (μB).
Atoms (fractional coordinates):
Tc 0.000 0.500 0.000  3.01
Cs 0.000 0.000 0.500  0.01
Cs 0.500 0.000 0.000  0.00
Cu 0.000 0.000 0.000  0.20
F 0.500 0.500 0.500  0.01

=====

[20]
A plane-wave DFT calculation with PBE was carried out for a geometry-optimized Al2CrRh structure.

Properties
energy relative to the lowest polymorph listed for this composition	263.0	meV/atom
space-group type	No. 99
energy of formation from the pure elements	-0.299	eV/atom

Cell lengths 3.131, 3.131, 5.735 Å; angles 90.00, 90.00, 90.00 degrees
Each line ends with the local moment (μB).
Atoms (fractional coordinates):
Cr 0.000 0.000 0.486  2.04
Rh 0.500 0.500 0.766  0.29
Al 0.000 0.000 0.985  -0.01
Al 0.500 0.500 0.263  -0.03

=====

| no. | total energy (eV for the cell shown) | calculated volume (A^3/atom) |
| --- | --- | --- |
| 1 | -11.8 | 31.78 |
| 2 | -57.2 | 33.37 |
| 3 | -17.1 | 16.89 |
| 4 | -95.1 | 21.97 |
| 5 | -47.3 | 18.55 |
| 6 | -13.4 | 23.96 |
| 7 | -37.3 | 32.32 |
| 8 | -25.3 | 23.55 |
| 9 | -28.0 | 35.06 |
| 10 | -118.4 | 15.89 |
| 11 | -23.0 | 41.83 |
| 12 | -18.2 | 26.70 |
| 13 | -32.1 | 26.65 |
| 14 | -55.8 | 35.60 |
| 15 | -108.2 | 14.87 |
| 16 | -35.3 | 22.63 |
| 17 | -20.9 | 14.98 |
| 18 | -134.8 | 18.29 |
| 19 | -16.8 | 42.45 |
| 20 | -25.7 | 14.06 |